PBE Er6AlGa2, optimized geometry; calculated volume = 26.07 Å³/atom; raw total energy = -81.5 eV/cell; formation enthalpy at 0 K = -400 meV/atom
1.0
-4.7359 4.7664 5.1966
4.7359 -4.7664 5.1966
4.7359 4.7664 -5.1966
Er Al Ga
12 2 4
Cartesian
4.7359 -2.8160 3.3470
2.8705 0.0000 2.5170
6.6013 0.0000 2.5170
3.0211 2.6072 0.0000
6.4506 2.6072 0.0000
0.0000 1.9504 1.8496
4.7359 2.8160 3.3470
-1.7148 2.1592 5.1966
1.7148 2.1592 5.1966
-1.8654 4.7664 2.6796
1.8654 4.7664 2.6796
0.0000 7.5824 1.8496
4.7359 0.0000 0.0000
0.0000 4.7664 0.0000
1.4347 0.0000 0.0000
8.0371 0.0000 0.0000
0.0000 0.0000 3.9318
0.0000 0.0000 6.4614